Entry 1:
Density functional theory data (PBE) for Cs2RhCl4F2 after structural relaxation.

Computed properties:
Its raw total energy is -3.790 eV/atom. Its space group is I4/mmm (139).

The structure in CIF format:
```
data_Cs2RhCl4F2
_cell_length_a 7.281
_cell_length_b 7.281
_cell_length_c 7.281
_cell_angle_alpha 121.44
_cell_angle_beta 121.44
_cell_angle_gamma 87.53
_symmetry_space_group_name_H-M 'P 1'
_symmetry_Int_Tables_number 1
_symmetry_space_group_name_Hall 'P 1'
loop_
_atom_site_label
_atom_site_type_symbol
_atom_site_fract_x
_atom_site_fract_y
_atom_site_fract_z
Cs1 Cs 0.250 0.750 0.500
Cs2 Cs 0.750 0.250 0.500
Rh1 Rh 0.000 0.000 0.000
Cl1 Cl 0.233 0.233 0.466
Cl2 Cl 0.233 0.767 0.000
Cl3 Cl 0.767 0.233 0.000
Cl4 Cl 0.767 0.767 0.534
F1 F 0.186 0.186 0.000
F2 F 0.814 0.814 0.000
```

Entry 2:
Density functional theory data (PBE) for Li6Tl2Ga after structural relaxation.

Computed properties:
As for the formation energy: -0.182 eV per atom. Its raw total energy is -2.320 eV/atom. Its space group is R-3m (166).

The structure in CIF format:
```
data_Li6Tl2Ga
_cell_length_a 9.960
_cell_length_b 9.960
_cell_length_c 9.960
_cell_angle_alpha 26.90
_cell_angle_beta 26.90
_cell_angle_gamma 26.90
_symmetry_space_group_name_H-M 'P 1'
_symmetry_Int_Tables_number 1
_symmetry_space_group_name_Hall 'P 1'
loop_
_atom_site_label
_atom_site_type_symbol
_atom_site_fract_x
_atom_site_fract_y
_atom_site_fract_z
Li1 Li 0.104 0.104 0.104
Li2 Li 0.200 0.200 0.200
Li3 Li 0.305 0.305 0.305
Li4 Li 0.695 0.695 0.695
Li5 Li 0.800 0.800 0.800
Li6 Li 0.896 0.896 0.896
Tl1 Tl 0.404 0.404 0.404
Tl2 Tl 0.596 0.596 0.596
Ga1 Ga 0.500 0.500 0.500
```

Entry 3:
Density functional theory data (PBE) for Pm2Sm4DyY2 after structural relaxation.

Computed properties:
As for the formation energy: 0.003 eV per atom. Its raw total energy is -5.097 eV/atom. Its space group is C2/m (12).

The structure in CIF format:
```
data_Pm2Sm4DyY2
_cell_length_a 9.624
_cell_length_b 9.624
_cell_length_c 9.688
_cell_angle_alpha 115.20
_cell_angle_beta 115.20
_cell_angle_gamma 21.84
_symmetry_space_group_name_H-M 'P 1'
_symmetry_Int_Tables_number 1
_symmetry_space_group_name_Hall 'P 1'
loop_
_atom_site_label
_atom_site_type_symbol
_atom_site_fract_x
_atom_site_fract_y
_atom_site_fract_z
Pm1 Pm 0.166 0.166 0.000
Pm2 Pm 0.834 0.834 0.000
Sm1 Sm 0.018 0.018 0.333
Sm2 Sm 0.315 0.315 0.666
Sm3 Sm 0.685 0.685 0.334
Sm4 Sm 0.982 0.982 0.667
Dy1 Dy 0.500 0.500 0.000
Y1 Y 0.353 0.353 0.334
Y2 Y 0.647 0.647 0.666
```

Entry 4:
Density functional theory data (PBE) for Pu2Se2O after structural relaxation.

Computed properties:
Its raw total energy is -10.146 eV/atom. As for the energy above the most stable polymorph in this dataset: 0.01 eV/f.u. Its space group is Ibam (72).

The structure in CIF format:
```
data_Pu2Se2O
_cell_length_a 7.212
_cell_length_b 7.212
_cell_length_c 7.212
_cell_angle_alpha 126.15
_cell_angle_beta 74.79
_cell_angle_gamma 132.25
_symmetry_space_group_name_H-M 'P 1'
_symmetry_Int_Tables_number 1
_symmetry_space_group_name_Hall 'P 1'
loop_
_atom_site_label
_atom_site_type_symbol
_atom_site_fract_x
_atom_site_fract_y
_atom_site_fract_z
Pu1 Pu 0.103 0.206 0.309
Pu2 Pu 0.397 0.706 0.103
Pu3 Pu 0.603 0.294 0.897
Pu4 Pu 0.897 0.794 0.691
Se1 Se 0.145 0.660 0.805
Se2 Se 0.355 0.160 0.515
Se3 Se 0.645 0.840 0.485
Se4 Se 0.855 0.340 0.195
O1 O 0.250 0.250 0.000
O2 O 0.750 0.750 0.000
```

Entry 5:
Density functional theory data (PBE) for LiCr2In after structural relaxation.

Computed properties:
As for the formation energy: 0.492 eV per atom. Its raw total energy is -5.482 eV/atom. Its space group is P4/mmm (123).

The structure in CIF format:
```
data_LiCr2In
_cell_length_a 4.530
_cell_length_b 4.530
_cell_length_c 3.420
_cell_angle_alpha 90.00
_cell_angle_beta 90.00
_cell_angle_gamma 90.00
_symmetry_space_group_name_H-M 'P 1'
_symmetry_Int_Tables_number 1
_symmetry_space_group_name_Hall 'P 1'
loop_
_atom_site_label
_atom_site_type_symbol
_atom_site_fract_x
_atom_site_fract_y
_atom_site_fract_z
Li1 Li 0.000 0.000 0.000
Cr1 Cr 0.000 0.500 0.500
Cr2 Cr 0.500 0.000 0.500
In1 In 0.500 0.500 0.000
```

Entry 6:
Density functional theory data (PBE) for Tb3Ga5Rh6 after structural relaxation.

Computed properties:
As for the formation energy: -0.846 eV per atom. Its raw total energy is -6.070 eV/atom. Its space group is Pmmn (59).

The structure in CIF format:
```
data_Tb3Ga5Rh6
_cell_length_a 4.260
_cell_length_b 12.956
_cell_length_c 8.863
_cell_angle_alpha 90.00
_cell_angle_beta 90.00
_cell_angle_gamma 90.00
_symmetry_space_group_name_H-M 'P 1'
_symmetry_Int_Tables_number 1
_symmetry_space_group_name_Hall 'P 1'
loop_
_atom_site_label
_atom_site_type_symbol
_atom_site_fract_x
_atom_site_fract_y
_atom_site_fract_z
Tb1 Tb 0.250 0.054 0.249
Tb2 Tb 0.250 0.446 0.249
Tb3 Tb 0.250 0.750 0.221
Tb4 Tb 0.750 0.250 0.779
Tb5 Tb 0.750 0.554 0.751
Tb6 Tb 0.750 0.946 0.751
Ga1 Ga 0.250 0.098 0.875
Ga2 Ga 0.250 0.402 0.875
Ga3 Ga 0.250 0.633 0.518
Ga4 Ga 0.250 0.750 0.794
Ga5 Ga 0.250 0.867 0.518
Ga6 Ga 0.750 0.133 0.482
Ga7 Ga 0.750 0.250 0.206
Ga8 Ga 0.750 0.367 0.482
Ga9 Ga 0.750 0.598 0.125
Ga10 Ga 0.750 0.902 0.125
Rh1 Rh 0.250 0.059 0.596
Rh2 Rh 0.250 0.250 0.051
Rh3 Rh 0.250 0.250 0.416
Rh4 Rh 0.250 0.441 0.596
Rh5 Rh 0.250 0.587 0.975
Rh6 Rh 0.250 0.913 0.975
Rh7 Rh 0.750 0.087 0.025
Rh8 Rh 0.750 0.413 0.025
Rh9 Rh 0.750 0.559 0.404
Rh10 Rh 0.750 0.750 0.584
Rh11 Rh 0.750 0.750 0.949
Rh12 Rh 0.750 0.941 0.404
```